A plane-wave DFT calculation with PBE was carried out for a relaxed structure of TlAgAsO.

Output
Final energy   -3.43 eV/atom
Excess energy over the best structure of this formula in the dataset   344 meV/atom
Symmetry   P4/nmm, No. 129

Unit cell a=4.427 b=4.427 c=8.867 alpha=90.00 beta=90.00 gamma=90.00
Fractional coordinates of all 8 atoms:
Tl (0.250, 0.750, 0.000)
Tl (0.750, 0.250, 0.000)
Ag (0.250, 0.250, 0.468)
Ag (0.750, 0.750, 0.532)
As (0.250, 0.250, 0.795)
As (0.750, 0.750, 0.205)
O (0.250, 0.750, 0.500)
O (0.750, 0.250, 0.500)


A plane-wave DFT calculation with PBE was carried out for a relaxed structure of TlAgAsO.

Output
Final energy   -3.77 eV/atom
Excess energy over the best structure of this formula in the dataset   4 meV/atom
Symmetry   Pmc2_1, No. 26

Unit cell a=4.411 b=6.969 c=5.234 alpha=90.00 beta=90.00 gamma=90.00
Fractional coordinates of all 8 atoms:
Tl (0.000, 0.204, 0.000)
Tl (0.000, 0.796, 0.500)
Ag (0.500, 0.172, 0.504)
Ag (0.500, 0.828, 0.004)
As (0.500, 0.439, 0.966)
As (0.500, 0.561, 0.466)
O (0.000, 0.113, 0.438)
O (0.000, 0.887, 0.938)